{
  "formula": "ZnCrF2",
  "functional": "GGA+U",
  "state": "optimized geometry",
  "lattice_angstrom": [[0.000, 2.975, 2.975], [2.975, 0.000, 2.975], [2.975, 2.975, 0.000]],
  "species": ["Zn", "Cr", "F", "F"],
  "frac_coords": [[0.000, 0.000, 0.000], [0.500, 0.500, 0.500], [0.250, 0.250, 0.250], [0.750, 0.750, 0.750]],
  "m_tot_mub_per_cell": 4.62,
  "relative_energy_mev_per_atom": 317,
  "e_tot_ry_per_atom": -0.3129
}